1.
Below is a geometry-optimized BaSb3Pd5 structure, with properties calculated at the PBE level.

a = 4.2692 Å, b = 13.9192 Å, c = 13.4531 Å
α = 90.00°, β = 90.00°, γ = 90.00°
Last column: nearest neighbours and their distance in Å.
Space group Cmcm (No. 63)
Inequivalent atoms, fractional coordinates:
Ba 0.0000 0.1688 0.2500 x4  7 Sb 3.62-3.84, 8 Pd 3.76-3.90
Sb 0.0000 0.1073 0.7500 x4  6 Pd 2.70-2.71
Sb 0.0000 0.3779 0.5377 x8  7 Pd 2.61-2.77
Pd 0.0000 0.0000 0.0000 x4  4 Sb 2.77, 6 Pd 2.84-2.96
Pd 0.0000 0.1928 0.5695 x8  4 Sb 2.61-2.76, 1 Pd 2.84
Pd 0.0000 0.4571 0.1455 x8  4 Sb 2.70-2.72, 3 Pd 2.81-2.96

Computed properties:
Formation energy (no corrections) ... -0.651 eV/atom
Total moment ... 0.00 μB/cell
Total DFT energy (no corrections) ... -5.1234 eV/atom



2.
Below is a geometry-optimized BaSb2Pd structure, with properties calculated at the PBE level.

a = 7.6256 Å, b = 7.6256 Å, c = 7.6256 Å
α = 90.00°, β = 90.00°, γ = 90.00°
Last column: nearest neighbours and their distance in Å.
Space group Fm-3m (No. 225)
Inequivalent atoms, fractional coordinates:
Ba 0.0000 0.0000 0.0000 x4  8 Sb 3.30
Sb 0.2500 0.2500 0.2500 x8  4 Ba 3.30, 4 Pd 3.30
Pd 0.0000 0.0000 0.5000 x4  8 Sb 3.30

Computed properties:
Formation energy (no corrections) ... -0.210 eV/atom
Total moment ... 0.00 μB/cell
Total DFT energy (no corrections) ... -4.0501 eV/atom



3.
Below is a geometry-optimized Ba12Sb3Pd5 structure, with properties calculated at the PBE level.

a = 19.4378 Å, b = 19.4378 Å, c = 19.4378 Å
α = 90.00°, β = 90.00°, γ = 90.00°
Last column: nearest neighbours and their distance in Å.
Space group Ia-3d (No. 230)
Inequivalent atoms, fractional coordinates:
Ba 0.0249 0.0625 0.6512 x96  2 Pd 2.99-3.22
Sb 0.0000 0.2500 0.1250 x24  8 Ba 3.69-3.71
Pd 0.0000 0.0000 0.0000 x16  6 Ba 3.22
Pd 0.0000 0.2500 0.3750 x24  4 Ba 2.99

Computed properties:
Formation energy (no corrections) ... -0.521 eV/atom
Total moment ... 0.00 μB/cell
Total DFT energy (no corrections) ... -3.5908 eV/atom



4.
Below is a geometry-optimized Ba3Sb3Pd2 structure, with properties calculated at the PBE level.

a = 4.6339 Å, b = 12.6325 Å, c = 17.8906 Å
α = 90.00°, β = 90.00°, γ = 90.00°
Last column: nearest neighbours and their distance in Å.
Space group Cmcm (No. 63)
Inequivalent atoms, fractional coordinates:
Ba 0.0000 0.0606 0.2500 x4  4 Pd 3.39, 5 Sb 3.45-3.65
Ba 0.0000 0.3544 0.0928 x8  7 Sb 3.50-3.79, 4 Pd 3.56-3.89
Sb 0.0000 0.0817 0.0578 x8  2 Pd 2.73, 1 Sb 2.92
Sb 0.0000 0.2283 0.7500 x4  2 Pd 2.75
Pd 0.0000 0.3549 0.6248 x8  3 Sb 2.73-2.75

Computed properties:
Formation energy (no corrections) ... -0.914 eV/atom
Total moment ... 0.00 μB/cell
Total DFT energy (no corrections) ... -4.4789 eV/atom



5.
Below is a geometry-optimized BaSb2Pd structure, with properties calculated at the PBE level.

a = 5.4852 Å, b = 5.4852 Å, c = 18.1917 Å
α = 90.00°, β = 90.00°, γ = 90.00°
Last column: nearest neighbours and their distance in Å.
Space group I-42d (No. 122)
Inequivalent atoms, fractional coordinates:
Ba 0.0000 0.0000 0.0000 x4  4 Sb 3.44
Sb 0.1027 0.2500 0.6250 x8  2 Pd 2.71, 2 Sb 2.97
Pd 0.0000 0.0000 0.5000 x4  4 Sb 2.71

Computed properties:
Formation energy (no corrections) ... -0.537 eV/atom
Total moment ... 0.00 μB/cell
Total DFT energy (no corrections) ... -4.3768 eV/atom



6.
Below is a geometry-optimized Ba2Sb2Pd3 structure, with properties calculated at the PBE level.

a = 12.3368 Å, b = 4.4958 Å, c = 7.6702 Å
α = 90.00°, β = 116.86°, γ = 90.00°
Last column: nearest neighbours and their distance in Å.
Space group C2/m (No. 12)
Inequivalent atoms, fractional coordinates:
Ba 0.1303 0.0000 0.2506 x4  5 Pd 3.42-3.75, 4 Sb 3.48-3.52, 1 Ba 3.73
Sb 0.1421 0.0000 0.7182 x4  5 Pd 2.69-2.88
Pd 0.0000 0.5000 0.5000 x2  4 Sb 2.88, 2 Pd 2.91
Pd 0.1569 0.5000 0.9197 x4  3 Sb 2.69-2.76, 1 Pd 2.91

Computed properties:
Formation energy (no corrections) ... -0.715 eV/atom
Total moment ... 0.00 μB/cell
Total DFT energy (no corrections) ... -4.6675 eV/atom



7.
Below is a geometry-optimized Ba2Sb3Pd2 structure, with properties calculated at the PBE level.

a = 5.0689 Å, b = 21.0402 Å, c = 7.4860 Å
α = 90.00°, β = 90.00°, γ = 90.00°
Last column: nearest neighbours and their distance in Å.
Space group Cmcm (No. 63)
Inequivalent atoms, fractional coordinates:
Ba 0.0000 0.0470 0.2500 x4  5 Sb 3.43-3.68
Ba 0.0000 0.1606 0.7500 x4  6 Pd 3.26-3.51, 6 Sb 3.47-3.54
Sb 0.0000 0.2217 0.2500 x4  6 Pd 2.79-2.96
Sb 0.0000 0.4268 0.0508 x8  1 Pd 2.81, 1 Sb 2.98
Pd 0.0000 0.2987 0.5537 x8  4 Sb 2.79-2.96, 1 Pd 2.94

Computed properties:
Formation energy (no corrections) ... -0.726 eV/atom
Total moment ... 0.00 μB/cell
Total DFT energy (no corrections) ... -4.5256 eV/atom



8.
Below is a geometry-optimized BaSb2Pd4 structure, with properties calculated at the PBE level.

a = 19.1481 Å, b = 4.5518 Å, c = 7.3613 Å
α = 90.00°, β = 90.00°, γ = 90.00°
Last column: nearest neighbours and their distance in Å.
Space group Pnma (No. 62)
Inequivalent atoms, fractional coordinates:
Ba 0.1396 0.2500 0.0426 x4  4 Pd 3.06-3.39
Sb 0.0367 0.7500 0.7374 x4  7 Pd 2.69-2.80
Sb 0.2014 0.2500 0.4801 x4  6 Pd 2.65-2.74
Pd 0.0108 0.7500 0.1121 x4  3 Sb 2.69-2.80, 3 Pd 2.84-2.94
Pd 0.0600 0.2500 0.5341 x4  4 Sb 2.72-2.76, 1 Pd 2.94
Pd 0.1771 0.7500 0.6744 x4  3 Sb 2.73, 3 Pd 2.98-3.00
Pd 0.2319 0.7500 0.2961 x4  3 Sb 2.65-2.71

Computed properties:
Formation energy (no corrections) ... -0.571 eV/atom
Total moment ... 0.00 μB/cell
Total DFT energy (no corrections) ... -4.9913 eV/atom